First-principles (PBE) data for a geometry-optimized Li3Pm3Cu8 structure, as listed in Alexandria via LeMat-Bulk.

abc: 4.3535 8.1213 8.1213
angles: 64.37 74.45 74.45
Fractional coordinates of all 14 atoms:
1 Cu 0.3630 0.9190 0.3550
2 Cu 0.3630 0.3550 0.9190
3 Li 0.5000 0.0000 0.0000
4 Pm 0.7864 0.2136 0.2136
5 Li 0.0000 0.2012 0.7988
6 Cu 0.6370 0.0810 0.6450
7 Li 0.0000 0.7988 0.2012
8 Pm 0.5000 0.5000 0.5000
9 Cu 0.6370 0.6450 0.0810
10 Cu 0.8363 0.5181 0.8093
11 Cu 0.1637 0.1907 0.4819
12 Cu 0.8363 0.8093 0.5181
13 Pm 0.2136 0.7864 0.7864
14 Cu 0.1637 0.4819 0.1907

Summary:
Space group: Immm (71)
Formation energy from the elements (eV per atom): -0.13
Spin magnetization (μB/cell): 0.00